# 1
# Sm4URu4 | the Alexandria database | GGA-PBE | relaxed
data_Sm4URu4
_chemical_formula_sum 'Sm8 U2 Ru8'
_symmetry_space_group_name_H-M 'P 1'
_symmetry_Int_Tables_number 1
_cell_length_a 5.8861
_cell_length_b 8.0684
_cell_length_c 9.1804
_cell_angle_alpha 98.14
_cell_angle_beta 90.00
_cell_angle_gamma 90.00
loop_
_symmetry_equiv_pos_as_xyz
'x,y,z'
loop_
_atom_site_label
_atom_site_type_symbol
_atom_site_fract_x
_atom_site_fract_y
_atom_site_fract_z
_atom_site_occupancy
Sm1 Sm 0.1342 0.5156 0.1908 1
Sm2 Sm 0.1342 0.9844 0.3092 1
Sm3 Sm 0.6338 0.8340 0.0780 1
Sm4 Sm 0.6338 0.6660 0.4220 1
Sm5 Sm 0.8658 0.4844 0.8092 1
Sm6 Sm 0.8658 0.0156 0.6908 1
Sm7 Sm 0.3662 0.1660 0.9220 1
Sm8 Sm 0.3662 0.3340 0.5780 1
U1 U 0.6966 0.2500 0.2500 1
U2 U 0.3034 0.7500 0.7500 1
Ru1 Ru 0.1189 0.6571 0.5169 1
Ru2 Ru 0.1189 0.8429 0.9831 1
Ru3 Ru 0.6372 0.4702 0.1081 1
Ru4 Ru 0.6372 0.0298 0.3919 1
Ru5 Ru 0.8811 0.3429 0.4831 1
Ru6 Ru 0.8811 0.1571 0.0169 1
Ru7 Ru 0.3628 0.5298 0.8919 1
Ru8 Ru 0.3628 0.9702 0.6081 1
# * energy of formation: -0.31 eV/atom
# * crystal system: monoclinic
# * space group: P2/c (13)

***

# 2
# PrSm2HoSe5 | the Alexandria database | GGA-PBE | relaxed
data_PrSm2HoSe5
_chemical_formula_sum 'Pr1 Sm2 Ho1 Se5'
_symmetry_space_group_name_H-M 'P 1'
_symmetry_Int_Tables_number 1
_cell_length_a 5.1245
_cell_length_b 5.1245
_cell_length_c 11.0450
_cell_angle_alpha 90.00
_cell_angle_beta 90.00
_cell_angle_gamma 90.00
loop_
_symmetry_equiv_pos_as_xyz
'x,y,z'
loop_
_atom_site_label
_atom_site_type_symbol
_atom_site_fract_x
_atom_site_fract_y
_atom_site_fract_z
_atom_site_occupancy
Pr1 Pr 0.0000 0.0000 0.0000 1
Sm1 Sm 0.5000 0.5000 0.3381 1
Sm2 Sm 0.5000 0.5000 0.6619 1
Ho1 Ho 0.0000 0.0000 0.5000 1
Se1 Se 0.0000 0.5000 0.5000 1
Se2 Se 0.5000 0.0000 0.5000 1
Se3 Se 0.0000 0.0000 0.7476 1
Se4 Se 0.0000 0.0000 0.2524 1
Se5 Se 0.5000 0.5000 0.0000 1
# * uncorrected formation energy: -1084 kJ/mol of formula units
# * crystal system: tetragonal
# * space group: P4/mmm (123)

***

# 3
# Cu2TcAu | the Alexandria database | GGA-PBE | relaxed
data_Cu2TcAu
_chemical_formula_sum 'Cu2 Tc1 Au1'
_symmetry_space_group_name_H-M 'P 1'
_symmetry_Int_Tables_number 1
_cell_length_a 8.9362
_cell_length_b 8.9362
_cell_length_c 8.9362
_cell_angle_alpha 17.74
_cell_angle_beta 17.74
_cell_angle_gamma 17.74
loop_
_symmetry_equiv_pos_as_xyz
'x,y,z'
loop_
_atom_site_label
_atom_site_type_symbol
_atom_site_fract_x
_atom_site_fract_y
_atom_site_fract_z
_atom_site_occupancy
Au1 Au 0.7500 0.7500 0.7500 1
Cu1 Cu 0.9969 0.9969 0.9969 1
Cu2 Cu 0.5031 0.5031 0.5031 1
Tc1 Tc 0.2500 0.2500 0.2500 1
# * energy of formation: 0.23 eV/atom
# * crystal system: trigonal
# * excess energy over the best structure of this formula in the dataset: 64 meV per atom
# * space group: R-3m (166)

***

# 4
# Rb5CeSe5 | the Alexandria database | GGA-PBE | relaxed
data_Rb5CeSe5
_chemical_formula_sum 'Rb5 Ce1 Se5'
_symmetry_space_group_name_H-M 'P 1'
_symmetry_Int_Tables_number 1
_cell_length_a 6.5001
_cell_length_b 8.5582
_cell_length_c 9.3918
_cell_angle_alpha 107.50
_cell_angle_beta 90.00
_cell_angle_gamma 112.32
loop_
_symmetry_equiv_pos_as_xyz
'x,y,z'
loop_
_atom_site_label
_atom_site_type_symbol
_atom_site_fract_x
_atom_site_fract_y
_atom_site_fract_z
_atom_site_occupancy
Rb1 Rb 0.6971 0.3942 0.3135 1
Rb2 Rb 0.6765 0.3530 0.8518 1
Rb3 Rb 0.0000 0.0000 0.5000 1
Rb4 Rb 0.3235 0.6470 0.1482 1
Rb5 Rb 0.3029 0.6058 0.6865 1
Ce1 Ce 0.0000 0.0000 0.0000 1
Se1 Se 0.8701 0.7401 0.1465 1
Se2 Se 0.8620 0.7240 0.7127 1
Se3 Se 0.5000 0.0000 0.0000 1
Se4 Se 0.1380 0.2760 0.2873 1
Se5 Se 0.1299 0.2599 0.8535 1
# * uncorrected formation energy: -1234 kJ/mol of formula units
# * crystal system: monoclinic
# * space group: C2/m (12)